Entry 1:
! SrCaI4 (GGA-PBEsol, optimized geometry); values from VASP
! **Total moment**: 0.00 μB per formula unit
! **Space-group type**: P2_1/c (14)
! **Formation energy without anion corrections**: -1.591 eV/atom
&SYSTEM
  ibrav = 0, nat = 24, ntyp = 3
/
ATOMIC_SPECIES
Sr 87.62 Sr.upf
Ca 40.08 Ca.upf
I 126.90 I.upf
CELL_PARAMETERS angstrom
9.797 0.000 0.000
0.000 10.490 0.000
-6.152 0.000 9.104
ATOMIC_POSITIONS crystal
Sr 0.023 0.229 0.171
Sr 0.023 0.271 0.671
Sr 0.977 0.729 0.329
Sr 0.977 0.771 0.829
Ca 0.496 0.546 0.216
Ca 0.496 0.954 0.716
Ca 0.504 0.046 0.284
Ca 0.504 0.454 0.784
I 0.164 0.647 0.162
I 0.164 0.853 0.662
I 0.172 0.070 0.984
I 0.172 0.430 0.484
I 0.254 0.517 0.879
I 0.254 0.983 0.379
I 0.427 0.187 0.836
I 0.427 0.313 0.336
I 0.573 0.687 0.664
I 0.573 0.813 0.164
I 0.746 0.017 0.621
I 0.746 0.483 0.121
I 0.828 0.570 0.516
I 0.828 0.930 0.016
I 0.836 0.147 0.338
I 0.836 0.353 0.838

***

Entry 2:
! Sr2CaI6 (GGA-PBEsol, optimized geometry); values from VASP
! **Total moment**: 0.00 μB per formula unit
! **Space-group type**: P321 (150)
! **Formation energy without anion corrections**: -1.628 eV/atom
&SYSTEM
  ibrav = 0, nat = 27, ntyp = 3
/
ATOMIC_SPECIES
Sr 87.62 Sr.upf
Ca 40.08 Ca.upf
I 126.90 I.upf
CELL_PARAMETERS angstrom
13.714 0.000 0.000
-6.857 11.876 0.000
0.000 0.000 7.231
ATOMIC_POSITIONS crystal
Sr 0.000 0.316 0.000
Sr 0.000 0.650 0.500
Sr 0.316 0.000 0.000
Sr 0.350 0.350 0.500
Sr 0.650 0.000 0.500
Sr 0.684 0.684 0.000
Ca 0.000 0.000 0.500
Ca 0.333 0.667 0.998
Ca 0.667 0.333 0.002
I 0.092 0.878 0.255
I 0.121 0.545 0.246
I 0.122 0.214 0.255
I 0.214 0.122 0.745
I 0.224 0.454 0.749
I 0.229 0.776 0.749
I 0.424 0.879 0.246
I 0.454 0.224 0.251
I 0.455 0.576 0.246
I 0.545 0.121 0.754
I 0.546 0.771 0.749
I 0.576 0.455 0.754
I 0.771 0.546 0.251
I 0.776 0.229 0.251
I 0.786 0.908 0.255
I 0.878 0.092 0.745
I 0.879 0.424 0.754
I 0.908 0.786 0.745

***

Entry 3:
! Sr2CaI6 (GGA-PBEsol, optimized geometry); values from VASP
! **Total moment**: 0.00 μB per formula unit
! **Space-group type**: Cmce (64)
! **Formation energy without anion corrections**: -1.590 eV/atom
&SYSTEM
  ibrav = 0, nat = 18, ntyp = 3
/
ATOMIC_SPECIES
Sr 87.62 Sr.upf
Ca 40.08 Ca.upf
I 126.90 I.upf
CELL_PARAMETERS angstrom
11.776 -3.925 0.000
11.776 3.925 0.000
0.000 0.000 7.836
ATOMIC_POSITIONS crystal
Sr 0.166 0.166 0.000
Sr 0.334 0.334 0.500
Sr 0.666 0.666 0.500
Sr 0.834 0.834 0.000
Ca 0.000 0.000 0.500
Ca 0.500 0.500 0.000
I 0.014 0.486 0.750
I 0.141 0.695 0.726
I 0.195 0.641 0.226
I 0.305 0.859 0.726
I 0.359 0.805 0.226
I 0.486 0.014 0.250
I 0.514 0.986 0.750
I 0.641 0.195 0.774
I 0.695 0.141 0.274
I 0.805 0.359 0.774
I 0.859 0.305 0.274
I 0.986 0.514 0.250

***

Entry 4:
! SrCaI4 (GGA-PBEsol, optimized geometry); values from VASP
! **Total moment**: 0.00 μB per formula unit
! **Space-group type**: C2/c (15)
! **Formation energy without anion corrections**: -1.597 eV/atom
&SYSTEM
  ibrav = 0, nat = 12, ntyp = 3
/
ATOMIC_SPECIES
Sr 87.62 Sr.upf
Ca 40.08 Ca.upf
I 126.90 I.upf
CELL_PARAMETERS angstrom
5.034 -7.250 0.000
5.034 7.250 0.000
-4.347 0.000 6.142
ATOMIC_POSITIONS crystal
Sr 0.135 0.865 0.750
Sr 0.865 0.135 0.250
Ca 0.499 0.501 0.250
Ca 0.501 0.499 0.750
I 0.140 0.260 0.767
I 0.205 0.559 0.417
I 0.260 0.140 0.267
I 0.441 0.795 0.083
I 0.559 0.205 0.917
I 0.740 0.860 0.733
I 0.795 0.441 0.583
I 0.860 0.740 0.233

***

Entry 5:
! Sr2CaI6 (GGA-PBEsol, optimized geometry); values from VASP
! **Total moment**: 0.00 μB per formula unit
! **Space-group type**: P4_2/mnm (136)
! **Formation energy without anion corrections**: -1.619 eV/atom
&SYSTEM
  ibrav = 0, nat = 18, ntyp = 3
/
ATOMIC_SPECIES
Sr 87.62 Sr.upf
Ca 40.08 Ca.upf
I 126.90 I.upf
CELL_PARAMETERS angstrom
7.514 0.000 0.000
0.000 7.514 0.000
0.000 0.000 14.404
ATOMIC_POSITIONS crystal
Sr 0.000 0.000 0.166
Sr 0.000 0.000 0.834
Sr 0.500 0.500 0.334
Sr 0.500 0.500 0.666
Ca 0.000 0.000 0.500
Ca 0.500 0.500 0.000
I 0.195 0.195 0.340
I 0.195 0.195 0.660
I 0.206 0.206 0.000
I 0.294 0.706 0.500
I 0.305 0.695 0.160
I 0.305 0.695 0.840
I 0.695 0.305 0.160
I 0.695 0.305 0.840
I 0.706 0.294 0.500
I 0.794 0.794 0.000
I 0.805 0.805 0.340
I 0.805 0.805 0.660

***

Entry 6:
! SrCaI4 (GGA-PBEsol, optimized geometry); values from VASP
! **Total moment**: 0.00 μB per formula unit
! **Space-group type**: C2/m (12)
! **Formation energy without anion corrections**: -1.542 eV/atom
&SYSTEM
  ibrav = 0, nat = 24, ntyp = 3
/
ATOMIC_SPECIES
Sr 87.62 Sr.upf
Ca 40.08 Ca.upf
I 126.90 I.upf
CELL_PARAMETERS angstrom
7.533 -6.806 0.000
7.533 6.806 0.000
-5.478 0.000 11.613
ATOMIC_POSITIONS crystal
Sr 0.195 0.195 0.348
Sr 0.195 0.805 0.000
Sr 0.805 0.195 0.000
Sr 0.805 0.805 0.652
Ca 0.180 0.180 0.840
Ca 0.181 0.819 0.500
Ca 0.819 0.181 0.500
Ca 0.820 0.820 0.160
I 0.150 0.485 0.908
I 0.152 0.152 0.580
I 0.152 0.514 0.419
I 0.152 0.847 0.746
I 0.153 0.153 0.073
I 0.153 0.848 0.254
I 0.485 0.150 0.908
I 0.486 0.848 0.581
I 0.514 0.152 0.419
I 0.515 0.850 0.092
I 0.847 0.152 0.746
I 0.847 0.847 0.927
I 0.848 0.153 0.254
I 0.848 0.486 0.581
I 0.848 0.848 0.420
I 0.850 0.515 0.092